Below is a relaxed CaTiIn2O6 crystal, with properties calculated at the PBE-GGA level.

```
data_CaTiIn2O6
_chemical_formula_sum 'Ca3 Ti3 In6 O18'
_cell_length_a 5.5099
_cell_length_b 5.5099
_cell_length_c 14.7128
_cell_angle_alpha 90.00
_cell_angle_beta 90.00
_cell_angle_gamma 120.00
_symmetry_space_group_name_H-M 'R 3'
_symmetry_Int_Tables_number 146
_symmetry_space_group_name_Hall 'R 3'
loop_
_atom_site_label
_atom_site_type_symbol
_atom_site_fract_x
_atom_site_fract_y
_atom_site_fract_z
_atom_site_occupancy
Ca1 Ca 0.0000 0.0000 0.0000 1
Ti1 Ti 0.0000 0.0000 0.4891 1
In1 In 0.0000 0.0000 0.2797 1
In2 In 0.0000 0.0000 0.7818 1
O1 O 0.0058 0.3631 0.2157 1
O2 O 0.0166 0.7330 0.3930 1
```

Computed properties:
- Calculated density: 5.33 g/cm³
- Raw total energy: -6.784 eV per atom
- Uncorrected formation energy: -2272 meV per atom